{"formula": "FeSi2Ge", "functional": "PBE", "state": "relaxed", "formation_energy_uncorrected_ev_per_fu": 1.18, "spacegroup": "No. 122", "total_energy_ev_per_atom": -5.6862, "lattice_angstrom": [[-2.0388, 2.0388, 7.5083], [2.0388, -2.0388, 7.5083], [2.0388, 2.0388, -7.5083]], "species": ["Fe", "Fe", "Si", "Si", "Si", "Si", "Ge", "Ge"], "fractional_positions": [[0.0000, 0.0000, 0.0000], [0.7500, 0.2500, 0.5000], [0.0547, 0.6250, 0.9297], [0.3750, 0.3047, 0.4297], [0.6953, 0.1250, 0.0703], [0.8750, 0.9453, 0.5703], [0.2500, 0.7500, 0.5000], [0.5000, 0.5000, 0.0000]]}